Dy2Ga5Ru2Rh | GGA-PBE | optimized geometry

Density of states at the Fermi level ... 4.8 states/eV/f.u.
Space-group type ... P4/mbm (127)
Energy relative to the elements ... -0.45 eV per atom
Size of the total moment ... 0.000 μB/f.u.

Lattice parameters (Å, degrees): 10.510 10.510 3.184 90.00 90.00 90.00
Sites, in units of the cell vectors:
Dy: 0.182 0.318 0.000
Dy: 0.318 0.818 0.000
Dy: 0.682 0.182 0.000
Dy: 0.818 0.682 0.000
Ga: 0.000 0.500 0.500
Ga: 0.054 0.809 0.500
Ga: 0.191 0.054 0.500
Ga: 0.309 0.554 0.500
Ga: 0.446 0.309 0.500
Ga: 0.500 0.000 0.500
Ga: 0.554 0.691 0.500
Ga: 0.691 0.446 0.500
Ga: 0.809 0.946 0.500
Ga: 0.946 0.191 0.500
Ru: 0.129 0.629 0.000
Ru: 0.371 0.129 0.000
Ru: 0.629 0.871 0.000
Ru: 0.871 0.371 0.000
Rh: 0.000 0.000 0.000
Rh: 0.500 0.500 0.000

=====

Ba4YTa | GGA-PBE | optimized geometry

Density of states at the Fermi level ... 9.8 states/eV/f.u.
Space-group type ... F-43m (216)
Energy relative to the elements ... 1.12 eV per atom
Size of the total moment ... 2.851 μB/f.u.

Lattice parameters (Å, degrees): 7.157 7.157 7.157 60.00 60.00 60.00
Sites, in units of the cell vectors:
Ba: 0.124 0.124 0.124
Ba: 0.124 0.124 0.627
Ba: 0.124 0.627 0.124
Ba: 0.627 0.124 0.124
Y: 0.500 0.500 0.500
Ta: 0.750 0.750 0.750

=====

Cd4Tc | GGA-PBE | optimized geometry

Density of states at the Fermi level ... 4.7 states/eV/f.u.
Space-group type ... I4/m (87)
Energy relative to the elements ... 0.34 eV per atom
Size of the total moment ... 0.345 μB/f.u.
Energy relative to the lowest polymorph listed for this composition ... 0 meV per atom

Lattice parameters (Å, degrees): 5.292 5.292 5.292 98.81 98.81 133.93
Sites, in units of the cell vectors:
Cd: 0.104 0.709 0.813
Cd: 0.291 0.104 0.395
Cd: 0.709 0.896 0.605
Cd: 0.896 0.291 0.187
Tc: 0.500 0.500 0.000

=====

Y2AlCo | GGA-PBE | optimized geometry

Space-group type ... F-43m (216)
Energy relative to the elements ... -0.02 eV per atom
Size of the total moment ... 0.000 μB/f.u.

Lattice parameters (Å, degrees): 4.822 4.822 4.822 60.00 60.00 60.00
Sites, in units of the cell vectors:
Y: 0.000 0.000 0.000
Y: 0.250 0.250 0.250
Al: 0.500 0.500 0.500
Co: 0.750 0.750 0.750